[1]
{"formula": "Cu8Ag", "functional": "PBE", "state": "relaxed", "polymorph_energy_kj_per_mol_atoms": 0.8, "cell": [[4.297, -1.323, 0.000], [4.297, 1.323, 0.000], [-4.098, 0.000, 9.894]], "species": ["Cu", "Cu", "Cu", "Cu", "Cu", "Cu", "Cu", "Cu", "Ag"], "fractional_positions": [[0.064, 0.064, 0.237], [0.163, 0.163, 0.662], [0.289, 0.289, 0.124], [0.387, 0.387, 0.552], [0.613, 0.613, 0.448], [0.711, 0.711, 0.876], [0.837, 0.837, 0.338], [0.936, 0.936, 0.763], [0.500, 0.500, 0.000]]}

---

[2]
{"formula": "CuAg", "functional": "PBE", "state": "relaxed", "final_energy_ev_per_cell": -31.87, "cell": [[6.077, 0.000, 0.000], [0.000, 3.935, 0.000], [-0.182, 0.000, 6.248]], "species": ["Cu", "Cu", "Cu", "Cu", "Cu", "Ag", "Ag", "Ag", "Ag", "Ag"], "fractional_positions": [[0.000, 0.000, 0.000], [0.092, 0.500, 0.681], [0.174, 0.000, 0.394], [0.826, 0.000, 0.606], [0.908, 0.500, 0.319], [0.277, 0.500, 0.099], [0.385, 0.000, 0.791], [0.500, 0.500, 0.500], [0.615, 0.000, 0.209], [0.723, 0.500, 0.901]]}

---

[3]
{"formula": "Cu3Ag7", "functional": "PBE", "state": "relaxed", "polymorph_energy_kj_per_mol_atoms": 4.1, "cell": [[2.884, 0.000, 0.000], [0.000, 3.902, 0.000], [0.000, 0.000, 14.483]], "species": ["Cu", "Cu", "Cu", "Ag", "Ag", "Ag", "Ag", "Ag", "Ag", "Ag"], "fractional_positions": [[0.000, 0.000, 0.000], [0.000, 0.000, 0.382], [0.500, 0.500, 0.295], [0.000, 0.000, 0.202], [0.000, 0.000, 0.581], [0.000, 0.000, 0.797], [0.500, 0.500, 0.097], [0.500, 0.500, 0.475], [0.500, 0.500, 0.689], [0.500, 0.500, 0.905]]}

---

[4]
{"formula": "CuAg", "functional": "PBE", "state": "relaxed", "final_energy_ev_per_cell": -25.57, "cell": [[5.661, -1.421, 0.000], [5.661, 1.421, 0.000], [-5.562, 0.000, 7.413]], "species": ["Cu", "Cu", "Cu", "Cu", "Ag", "Ag", "Ag", "Ag"], "fractional_positions": [[0.135, 0.135, 0.440], [0.360, 0.360, 0.780], [0.640, 0.640, 0.220], [0.865, 0.865, 0.560], [0.113, 0.113, 0.949], [0.380, 0.380, 0.317], [0.620, 0.620, 0.683], [0.887, 0.887, 0.051]]}

---

[5]
{"formula": "CuAg", "functional": "PBE", "state": "relaxed", "final_energy_ev_per_cell": -31.83, "cell": [[2.849, 0.000, 0.000], [0.000, 3.556, 0.000], [0.000, 0.000, 14.770]], "species": ["Cu", "Cu", "Cu", "Cu", "Cu", "Ag", "Ag", "Ag", "Ag", "Ag"], "fractional_positions": [[0.000, 0.000, 0.000], [0.000, 0.000, 0.198], [0.000, 0.000, 0.802], [0.500, 0.500, 0.281], [0.500, 0.500, 0.719], [0.000, 0.000, 0.382], [0.000, 0.000, 0.618], [0.500, 0.500, 0.098], [0.500, 0.500, 0.500], [0.500, 0.500, 0.902]]}

---

[6]
{"formula": "CuAg", "functional": "PBE", "state": "relaxed", "final_energy_ev_per_cell": -25.83, "cell": [[2.888, 0.000, 0.000], [0.000, 2.888, 0.000], [0.000, 0.000, 14.253]], "species": ["Cu", "Cu", "Cu", "Cu", "Ag", "Ag", "Ag", "Ag"], "fractional_positions": [[0.250, 0.250, 0.050], [0.250, 0.250, 0.850], [0.750, 0.750, 0.150], [0.750, 0.750, 0.950], [0.250, 0.250, 0.276], [0.250, 0.250, 0.574], [0.750, 0.750, 0.426], [0.750, 0.750, 0.724]]}

---

[7]
{"formula": "Cu3Ag7", "functional": "PBE", "state": "relaxed", "polymorph_energy_kj_per_mol_atoms": 1.8, "cell": [[4.801, -1.452, 0.000], [4.801, 1.452, 0.000], [-1.810, 0.000, 11.603]], "species": ["Cu", "Cu", "Cu", "Ag", "Ag", "Ag", "Ag", "Ag", "Ag", "Ag"], "fractional_positions": [[0.000, 0.000, 0.000], [0.319, 0.319, 0.077], [0.681, 0.681, 0.923], [0.086, 0.086, 0.721], [0.208, 0.208, 0.391], [0.375, 0.375, 0.825], [0.500, 0.500, 0.500], [0.625, 0.625, 0.175], [0.792, 0.792, 0.609], [0.914, 0.914, 0.279]]}

---

[8]
{"formula": "CuAg", "functional": "PBE", "state": "relaxed", "final_energy_ev_per_cell": -31.80, "cell": [[9.099, -1.416, 0.000], [9.099, 1.416, 0.000], [-0.944, 0.000, 5.791]], "species": ["Cu", "Cu", "Cu", "Cu", "Cu", "Ag", "Ag", "Ag", "Ag", "Ag"], "fractional_positions": [[0.000, 0.000, 0.000], [0.007, 0.007, 0.577], [0.192, 0.192, 0.142], [0.599, 0.599, 0.852], [0.792, 0.792, 0.417], [0.195, 0.195, 0.631], [0.394, 0.394, 0.722], [0.412, 0.412, 0.251], [0.587, 0.587, 0.319], [0.795, 0.795, 0.963]]}